# 1
{
  "formula": "PmSc4Ag5",
  "functional": "GGA-PBE",
  "state": "relaxed",
  "n_ef_per_ev_fu": 6.015,
  "delta_e_f_ev_per_atom": -0.2690,
  "dft_energy_ev_per_cell": -47.02,
  "lattice_angstrom": [[-1.532, 2.637, -1.635], [0.372, -1.654, -3.017], [-15.817, -7.762, 2.305]],
  "species": ["Pm", "Sc", "Sc", "Sc", "Sc", "Ag", "Ag", "Ag", "Ag", "Ag"],
  "fractional_positions": [[0.000, 0.000, 0.000], [0.000, 0.000, 0.211], [0.000, 0.000, 0.404], [0.000, 0.000, 0.596], [0.000, 0.000, 0.789], [0.500, 0.500, 0.120], [0.500, 0.500, 0.307], [0.500, 0.500, 0.500], [0.500, 0.500, 0.693], [0.500, 0.500, 0.880]]
}

***

# 2
{
  "formula": "Pm2ScAg5",
  "functional": "GGA-PBE",
  "state": "relaxed",
  "n_ef_per_ev_fu": 6.445,
  "delta_e_f_ev_per_atom": -0.1850,
  "dft_energy_ev_per_cell": -31.57,
  "lattice_angstrom": [[-4.716, -1.053, -1.465], [-1.068, -1.678, 4.641], [0.857, 7.865, 0.293]],
  "species": ["Pm", "Pm", "Sc", "Ag", "Ag", "Ag", "Ag", "Ag"],
  "fractional_positions": [[0.732, 0.732, 0.465], [0.268, 0.268, 0.535], [0.000, 0.000, 0.000], [0.500, 0.500, 0.000], [0.892, 0.392, 0.783], [0.392, 0.892, 0.783], [0.108, 0.608, 0.217], [0.608, 0.108, 0.217]]
}

***

# 3
{
  "formula": "PmSc2Ag",
  "functional": "GGA-PBE",
  "state": "relaxed",
  "n_ef_per_ev_fu": 6.895,
  "delta_e_f_ev_per_atom": 0.0158,
  "dft_energy_ev_per_cell": -20.20,
  "de_polymorph_ev_per_fu": 0.419,
  "lattice_angstrom": [[-4.564, 0.345, -1.275], [-0.049, -4.432, -1.026], [-1.263, -0.972, 4.261]],
  "species": ["Sc", "Sc", "Ag", "Pm"],
  "fractional_positions": [[0.000, 0.000, 0.500], [0.000, 0.500, 0.000], [0.500, 0.000, 0.000], [0.500, 0.500, 0.500]]
}

***

# 4
{
  "formula": "Pm2ScAg3Se6",
  "functional": "GGA-PBE",
  "state": "relaxed",
  "n_ef_per_ev_fu": 0.000,
  "dft_energy_ev_per_cell": -58.77,
  "e_form_raw_mev_per_atom": -1123,
  "lattice_angstrom": [[-2.752, 1.544, 2.782], [0.545, -8.065, 5.013], [7.224, 3.889, 1.807]],
  "species": ["Pm", "Pm", "Sc", "Ag", "Ag", "Ag", "Se", "Se", "Se", "Se", "Se", "Se"],
  "fractional_positions": [[0.842, 0.688, 0.685], [0.158, 0.312, 0.315], [0.500, 0.000, 0.000], [0.500, 0.500, 0.000], [0.832, 0.261, 0.665], [0.168, 0.739, 0.335], [0.329, 0.890, 0.658], [0.658, 0.540, 0.316], [0.671, 0.110, 0.342], [0.979, 0.182, 0.958], [0.021, 0.818, 0.042], [0.342, 0.460, 0.684]]
}

***

# 5
{
  "formula": "Pm2ScAgSe5",
  "functional": "GGA-PBE",
  "state": "relaxed",
  "n_ef_per_ev_fu": 0.105,
  "dft_energy_ev_per_cell": -98.99,
  "e_form_raw_mev_per_atom": -1488,
  "lattice_angstrom": [[-2.851, 0.388, -2.892], [-4.110, -4.748, 6.293], [-3.939, 10.411, 5.281]],
  "species": ["Pm", "Pm", "Pm", "Pm", "Sc", "Sc", "Ag", "Ag", "Se", "Se", "Se", "Se", "Se", "Se", "Se", "Se", "Se", "Se"],
  "fractional_positions": [[0.872, 0.745, 0.806], [0.110, 0.221, 0.687], [0.128, 0.255, 0.306], [0.890, 0.779, 0.187], [0.806, 0.611, 0.512], [0.194, 0.389, 0.012], [0.560, 0.121, 0.956], [0.440, 0.879, 0.456], [0.355, 0.709, 0.001], [0.697, 0.394, 0.850], [0.496, 0.992, 0.771], [0.285, 0.569, 0.662], [0.950, 0.900, 0.578], [0.645, 0.291, 0.501], [0.303, 0.606, 0.350], [0.504, 0.008, 0.271], [0.715, 0.431, 0.162], [0.050, 0.100, 0.078]]
}

***

# 6
{
  "formula": "PmScAg2Se4",
  "functional": "GGA-PBE",
  "state": "relaxed",
  "dft_energy_ev_per_cell": -39.38,
  "e_form_raw_mev_per_atom": -1082,
  "lattice_angstrom": [[4.128, 0.000, 0.000], [0.000, 7.162, -0.040], [0.000, -2.647, 6.521]],
  "species": ["Pm", "Sc", "Ag", "Ag", "Se", "Se", "Se", "Se"],
  "fractional_positions": [[0.500, 0.500, 0.000], [0.000, 0.000, 0.000], [0.500, 0.000, 0.500], [0.000, 0.500, 0.500], [0.500, 0.241, 0.240], [0.500, 0.759, 0.760], [0.000, 0.224, 0.759], [0.000, 0.776, 0.241]]
}

***

# 7
{
  "formula": "PmSmScAg",
  "functional": "GGA-PBE",
  "state": "relaxed",
  "n_ef_per_ev_fu": 6.002,
  "delta_e_f_ev_per_atom": -0.0952,
  "dft_energy_ev_per_cell": -19.03,
  "de_polymorph_ev_per_fu": 0.000,
  "lattice_angstrom": [[-3.384, 0.784, -0.800], [-0.866, -0.216, 3.451], [1.712, 8.365, 0.954]],
  "species": ["Pm", "Sm", "Sc", "Ag"],
  "fractional_positions": [[0.000, 0.000, 0.091], [0.500, 0.500, 0.783], [0.500, 0.500, 0.367], [0.000, 0.000, 0.543]]
}

***

# 8
{
  "formula": "PmSmScAg",
  "functional": "GGA-PBE",
  "state": "relaxed",
  "n_ef_per_ev_fu": 5.201,
  "delta_e_f_ev_per_atom": 0.1096,
  "dft_energy_ev_per_cell": -18.21,
  "de_polymorph_ev_per_fu": 0.819,
  "lattice_angstrom": [[-2.304, -4.466, -1.648], [2.084, -2.720, -4.029], [2.335, -4.662, 0.884]],
  "species": ["Sc", "Ag", "Sm", "Pm"],
  "fractional_positions": [[0.500, 0.500, 0.500], [0.250, 0.250, 0.250], [0.000, 0.000, 0.000], [0.750, 0.750, 0.750]]
}